Below is a geometry-optimized TiAgI2O structure, with properties calculated at the PBE level.

abc: 5.743 5.743 3.761
angles: 90.00 90.00 90.00
Positions (direct):
Ti: 0.000 0.000 0.000
Ag: 0.500 0.500 0.500
I: 0.000 0.500 0.000
I: 0.500 0.000 0.000
O: 0.000 0.000 0.500

Results
* raw formation energy: -4.483 eV per formula unit
* offset from the most stable computed form: 0 meV/atom
* space group: No. 123
* E: -0.171 Ha/atom